# 1
# AlTe2Se | Alexandria | PBE-GGA | optimized geometry
# Uncorrected energy = -3.071 eV/atom
# Symmetry = Cmmm (65)
# Energy relative to the elements, uncorrected = 0.307 eV per atom
# Density = 5.97 g cm⁻³
# Fermi-level density of states = 4.6 states/eV/cell
data_AlTe2Se
_chemical_formula_sum 'Al2 Te4 Se2'
_cell_length_a 3.711
_cell_length_b 4.879
_cell_length_c 11.092
_cell_angle_alpha 90.00
_cell_angle_beta 90.00
_cell_angle_gamma 90.00
_symmetry_space_group_name_H-M 'P 1'
_symmetry_Int_Tables_number 1
loop_
_symmetry_equiv_pos_as_xyz
'x,y,z'
loop_
_atom_site_label
_atom_site_type_symbol
_atom_site_fract_x
_atom_site_fract_y
_atom_site_fract_z
Al1 Al 0.000 0.000 0.000
Al2 Al 0.500 0.500 0.000
Te1 Te 0.000 0.500 0.220
Te2 Te 0.000 0.500 0.780
Te3 Te 0.500 0.000 0.220
Te4 Te 0.500 0.000 0.780
Se1 Se 0.000 0.000 0.500
Se2 Se 0.500 0.500 0.500

# 2
# TeIrI2Cl | Alexandria | PBE-GGA | optimized geometry
# Uncorrected energy = -1.792 eV/atom
# Symmetry = P4/mmm (123)
# Energy relative to the elements, uncorrected = 1.597 eV per atom
# Density = 6.04 g cm⁻³
# Fermi-level density of states = 7.3 states/eV/cell
# Excess energy over the best structure of this formula in the dataset = 1206 meV per atom
data_TeIrI2Cl
_chemical_formula_sum 'Te1 Ir1 I2 Cl1'
_cell_length_a 5.463
_cell_length_b 5.463
_cell_length_c 5.612
_cell_angle_alpha 90.00
_cell_angle_beta 90.00
_cell_angle_gamma 90.00
_symmetry_space_group_name_H-M 'P 1'
_symmetry_Int_Tables_number 1
loop_
_symmetry_equiv_pos_as_xyz
'x,y,z'
loop_
_atom_site_label
_atom_site_type_symbol
_atom_site_fract_x
_atom_site_fract_y
_atom_site_fract_z
Te1 Te 0.000 0.000 0.000
Ir1 Ir 0.500 0.500 0.000
I1 I 0.000 0.500 0.500
I2 I 0.500 0.000 0.500
Cl1 Cl 0.000 0.000 0.500

# 3
# AcGa2CuPd4 | Alexandria | PBE-GGA | optimized geometry
# Uncorrected energy = -5.008 eV/atom
# Symmetry = R-3m (166)
# DFT formation energy = -0.6291 eV/atom
# Density = 9.72 g cm⁻³
# Fermi-level density of states = 3.6 states/eV/cell
data_AcGa2CuPd4
_chemical_formula_sum 'Ac1 Ga2 Cu1 Pd4'
_cell_length_a 9.391
_cell_length_b 9.391
_cell_length_c 9.391
_cell_angle_alpha 26.58
_cell_angle_beta 26.58
_cell_angle_gamma 26.58
_symmetry_space_group_name_H-M 'P 1'
_symmetry_Int_Tables_number 1
loop_
_symmetry_equiv_pos_as_xyz
'x,y,z'
loop_
_atom_site_label
_atom_site_type_symbol
_atom_site_fract_x
_atom_site_fract_y
_atom_site_fract_z
Ac1 Ac 0.000 0.000 0.000
Ga1 Ga 0.231 0.231 0.231
Ga2 Ga 0.769 0.769 0.769
Cu1 Cu 0.500 0.500 0.500
Pd1 Pd 0.132 0.132 0.132
Pd2 Pd 0.406 0.406 0.406
Pd3 Pd 0.594 0.594 0.594
Pd4 Pd 0.868 0.868 0.868

# 4
# Sc2CoAu | Alexandria | PBE-GGA | optimized geometry
# Uncorrected energy = -6.340 eV/atom
# Symmetry = P2/m (10)
# DFT formation energy = -0.5780 eV/atom
# Density = 8.21 g cm⁻³
# Fermi-level density of states = 2.2 states/eV/cell
data_Sc2CoAu
_chemical_formula_sum 'Sc2 Co1 Au1'
_cell_length_a 3.212
_cell_length_b 3.159
_cell_length_c 6.895
_cell_angle_alpha 90.00
_cell_angle_beta 90.07
_cell_angle_gamma 90.00
_symmetry_space_group_name_H-M 'P 1'
_symmetry_Int_Tables_number 1
loop_
_symmetry_equiv_pos_as_xyz
'x,y,z'
loop_
_atom_site_label
_atom_site_type_symbol
_atom_site_fract_x
_atom_site_fract_y
_atom_site_fract_z
Sc1 Sc 0.001 0.000 0.223
Sc2 Sc 0.999 0.000 0.777
Co1 Co 0.500 0.500 0.000
Au1 Au 0.500 0.500 0.500

Which formula does entry 1 have? AlTe2Se